Compound: BeCuSnPt
Source: OQMD via LeMat-Bulk
Functional: PBE
Structure: optimized geometry

abc: 4.380 4.380 4.380
angles: 60.00 60.00 60.00
Fractional positions:
Be (0.500, 0.500, 0.500)
Cu (0.750, 0.750, 0.750)
Pt (0.250, 0.250, 0.250)
Sn (0.000, 0.000, 0.000)

Compound: TaBeCuPt
Source: OQMD via LeMat-Bulk
Functional: PBE
Structure: optimized geometry

abc: 4.280 4.280 4.280
angles: 60.00 60.00 60.00
Fractional positions:
Be (0.750, 0.750, 0.750)
Cu (0.500, 0.500, 0.500)
Pt (0.250, 0.250, 0.250)
Ta (0.000, 0.000, 0.000)

no.,total DFT energy (no corrections) (eV per atom),energy above the lowest structure with this stoichiometry (meV/atom)
1,-4.461,0
2,-6.544,56